Density functional theory data (GGA-PBE) for a relaxed structure of Be2BH2.

Summary:
- distance to the lowest polymorph of the same formula (meV/atom) = 78
- space-group type = I4/mmm

a b c (Å): 2.3632 2.3632 5.2493
angles (deg): 76.99 76.99 90.00
Positions (direct):
Be 0.3721 0.3721 0.2559
Be 0.6279 0.6279 0.7441
B 0.0000 0.0000 0.0000
H 0.7500 0.2500 0.5000
H 0.2500 0.7500 0.5000